No. 1
Y2Hf2Ge, relaxed, DFT GGA-PBE; calculated formation energy = 231.6 meV/atom; DOS at the Fermi energy = 0.901 states/eV per atom
1.0
-4.488 4.089 4.469
-1.602 -6.165 4.032
3.580 0.889 2.781
Hf Y Ge
4 4 2
direct
0.860 0.360 0.500
0.140 0.640 0.500
0.640 0.860 0.500
0.360 0.140 0.500
0.654 0.154 0.000
0.154 0.346 0.000
0.346 0.846 0.000
0.846 0.654 0.000
0.000 0.000 0.000
0.500 0.500 0.000



No. 2
Tb2Pm4Ho5, relaxed, DFT GGA-PBE; calculated formation energy = 106.5 meV/atom; DOS at the Fermi energy = 1.537 states/eV per atom
1.0
5.493 0.000 -1.340
-0.294 6.500 -1.206
-0.525 1.960 9.776
Pm Ho Tb
4 5 2
direct
0.021 0.714 0.041
0.305 0.075 0.610
0.979 0.286 0.959
0.695 0.925 0.390
0.130 0.108 0.260
0.500 0.000 0.000
0.791 0.401 0.583
0.870 0.892 0.740
0.209 0.599 0.417
0.402 0.554 0.804
0.598 0.446 0.196



No. 3
Tb4Cd2N, relaxed, DFT GGA-PBE; DOS at the Fermi energy = 0.887 states/eV per atom; formation energy from raw total energies = -565 meV per atom
1.0
-0.617 -1.683 4.535
2.773 -3.869 -1.059
7.165 0.978 3.959
Tb N Cd
4 1 2
direct
0.837 0.837 0.326
0.500 0.000 0.000
0.163 0.163 0.674
0.000 0.500 0.000
0.000 0.000 0.000
0.368 0.368 0.264
0.632 0.632 0.736



No. 4
ZrMo3Se, relaxed, DFT GGA-PBE; DOS at the Fermi energy = 1.146 states/eV per atom; formation energy from raw total energies = 740 meV per atom
1.0
-2.938 -2.437 2.608
3.005 -3.512 0.102
1.927 1.760 3.816
Se Mo Zr
1 3 1
direct
0.000 0.000 0.000
0.000 0.500 0.000
0.500 0.000 0.000
0.000 0.000 0.500
0.500 0.500 0.500



No. 5
Mn2NiHRh, relaxed, DFT GGA-PBE; energy = -34.731 eV/cell; DOS at the Fermi energy = 1.347 states/eV per atom
1.0
-2.107 -2.837 -1.219
0.400 -1.714 3.297
-3.062 1.728 1.270
H Mn Ni Rh
1 2 1 1
direct
0.000 0.000 0.000
0.000 0.500 0.000
0.500 0.000 0.000
0.500 0.500 0.500
0.000 0.000 0.500



No. 6
VCuHg2, relaxed, DFT GGA-PBE; calculated formation energy = 561.5 meV/atom; DOS at the Fermi energy = 1.072 states/eV per atom
1.0
7.443 0.000 0.000
0.000 7.443 0.000
3.722 3.722 2.897
V Hg Cu
2 4 2
direct
0.500 0.500 0.000
0.250 0.750 0.500
0.875 0.897 0.750
0.103 0.625 0.250
0.647 0.125 0.250
0.375 0.353 0.750
0.000 0.000 0.000
0.750 0.250 0.500



DOS at the Fermi energy of number 1 (Y2Hf2Ge)? 0.901 states/eV per atom